# 1
Entry from Alexandria: AlVN2F after structural relaxation (GGA+U).

Calculated values
* Fermi-level density of states: 2.3 states/eV/cell
* SG: No. 123

Cell: 3.8055 3.8055 3.5412 Å, 90.00 90.00 90.00°
Closest atoms and distances in Å follow each position.
Fractional coordinates of all 5 atoms:
N: 0.5000 0.0000 0.0000  2 Al 1.90
N: 0.0000 0.5000 0.0000  2 Al 1.90
F: 0.0000 0.0000 0.5000  2 Al 1.77
Al: 0.0000 0.0000 0.0000  2 F 1.77, 4 N 1.90
V: 0.5000 0.5000 0.5000  8 N 2.60, 4 F 2.69



# 2
Entry from Alexandria: AlVNF2 after structural relaxation (GGA+U).

Calculated values
* SG: No. 123

Cell: 3.6589 3.6589 3.9937 Å, 90.00 90.00 90.00°
Closest atoms and distances in Å follow each position.
Fractional coordinates of all 5 atoms:
N: 0.0000 0.0000 0.5000  2 Al 2.00
V: 0.5000 0.5000 0.5000  4 N 2.59, 8 F 2.71
Al: 0.0000 0.0000 0.0000  4 F 1.83, 2 N 2.00
F: 0.0000 0.5000 0.0000  2 Al 1.83
F: 0.5000 0.0000 0.0000  2 Al 1.83



Number 1: energy -6.39 eV per atom. Number 2: energy -6.15 eV per atom.